1.
Mg2BeRu2 PBE relaxed; formation energy from the elements = 631 meV/atom; energy relative to the lowest polymorph listed for this composition = 0.644 eV per atom; V = 89.9 Å³ per cell; density of states at the Fermi level = 0.894 states/eV per atom
1.0
-1.731 1.731 7.493
1.731 -1.731 7.493
1.731 1.731 -7.493
Mg Be Ru
2 1 2
Cartesian
0.000 0.000 1.495
0.000 0.000 13.492
0.000 0.000 7.493
1.731 0.000 3.747
0.000 1.731 3.747

=====

2.
LiSc2Rh PBE relaxed; formation energy from the elements = -550 meV/atom; V = 70.5 Å³ per cell; density of states at the Fermi level = 0.732 states/eV per atom
1.0
-2.316 2.316 3.283
2.316 -2.316 3.283
2.316 2.316 -3.283
Li Sc Rh
1 2 1
Cartesian
0.000 0.000 0.000
2.316 0.000 1.642
0.000 2.316 1.642
0.000 0.000 3.283

=====

| no. | total DFT energy (no corrections) (Ha/atom) |
| --- | --- |
| 1 | -0.1640 |
| 2 | -0.2217 |